Entry 1:
Below is an optimized crystal structure of ZrTl3Sb2O9, with properties calculated at the GGA-PBE level.

Properties
* formation energy without anion corrections: -1.432 eV per atom

abc: 5.8200 5.8200 7.1368
angles: 90.00 90.00 120.00
Space group P-3m1 (No. 164)
Asymmetric unit:
Zr  0.0000  0.0000  0.0000
Tl  0.0000  0.0000  0.5000
Tl  0.3333  0.6667  0.1657
Sb  0.3333  0.6667  0.6663
O  0.0000  0.5000  0.5000
O  0.1703  0.3407  0.8249


Entry 2:
Below is an optimized crystal structure of SrPRu2, with properties calculated at the GGA-PBE level.

Properties
* energy of formation from the pure elements: 0.06 eV per atom

abc: 3.1710 3.5580 6.9083
angles: 90.00 101.66 90.00
Space group P2/m (No. 10)
Asymmetric unit:
Sr  0.0000  0.0000  0.0000
P  0.0000  0.0000  0.5000
Ru  0.3327  0.5000  0.6673


Across the entries above, spin magnetization takes the values 0.00 0.00 μB per formula unit, respectively.
Across the entries above, raw total energy takes the values -5.9999 -6.3537 eV per atom, respectively.